VASP calculation (GGA-PBE) on a relaxed structure of RbAg2N.

Properties
**Final energy**: -3.428 eV per atom
**Total magnetization**: 0.000 μB per atom
**Uncorrected formation energy**: 0.320 eV/atom

a b c (Å): 6.714 6.714 9.530
angles (deg): 90.00 90.00 90.00
Space group I4_1/amd (No. 141, origin choice 2)
Symmetry-distinct sites (fractional):
Rb 0.000 0.250 0.375 x4
Ag 0.000 0.000 0.000 x8
N 0.000 0.250 0.875 x4

---

VASP calculation (GGA-PBE) on a relaxed structure of Rb2AgN.

Properties
**Final energy**: -2.910 eV per atom
**Total magnetization**: 0.000 μB per atom
**Uncorrected formation energy**: 0.368 eV/atom

a b c (Å): 12.109 12.109 4.078
angles (deg): 90.00 90.00 90.00
Space group I-42d (No. 122)
Symmetry-distinct sites (fractional):
Rb 0.029 0.750 0.125 x8
Ag 0.000 0.000 0.500 x4
N 0.000 0.000 0.000 x4

---

VASP calculation (GGA-PBE) on a relaxed structure of RbAgN3.

Properties
**Final energy**: -2.726 eV per atom
**Total magnetization**: 1.400 μB per atom
**Uncorrected formation energy**: 3.033 eV/atom

a b c (Å): 5.008 5.008 5.008
angles (deg): 90.00 90.00 90.00
Space group Pm-3m (No. 221)
Symmetry-distinct sites (fractional):
Rb 0.000 0.000 0.000 x1
Ag 0.500 0.500 0.500 x1
N 0.000 0.000 0.500 x3

---

VASP calculation (GGA-PBE) on a relaxed structure of Rb2AgN2.

Properties
**Final energy**: -4.269 eV per atom
**Total magnetization**: 0.198 μB per atom
**Uncorrected formation energy**: 0.018 eV/atom

a b c (Å): 8.615 8.615 3.895
angles (deg): 90.00 90.00 90.00
Space group P4/mbm (No. 127)
Symmetry-distinct sites (fractional):
Rb 0.235 0.265 0.000 x4
Ag 0.000 0.000 0.500 x2
N 0.048 0.548 0.500 x4

---

VASP calculation (GGA-PBE) on a relaxed structure of RbAgN3.

Properties
**Final energy**: -3.480 eV per atom
**Total magnetization**: 0.000 μB per atom
**Uncorrected formation energy**: 2.279 eV/atom

a b c (Å): 4.250 4.250 4.250
angles (deg): 90.00 90.00 90.00
Space group Pm-3m (No. 221)
Symmetry-distinct sites (fractional):
Rb 0.000 0.000 0.000 x1
Ag 0.500 0.500 0.500 x1
N 0.000 0.500 0.500 x3

---

VASP calculation (GGA-PBE) on a relaxed structure of Rb2AgRhN.

Properties
**Final energy**: -3.926 eV per atom
**Total magnetization**: 0.000 μB per atom
**Uncorrected formation energy**: 0.167 eV/atom

a b c (Å): 6.341 6.341 3.709
angles (deg): 90.00 90.00 90.00
Space group P4/mmm (No. 123)
Symmetry-distinct sites (fractional):
Rb 0.000 0.500 0.000 x2
Ag 0.000 0.000 0.500 x1
Rh 0.500 0.500 0.500 x1
N 0.500 0.500 0.000 x1

---

VASP calculation (GGA-PBE) on a relaxed structure of RbAgSN2.

Properties
**Final energy**: -3.533 eV per atom
**Total magnetization**: 0.867 μB per atom
**Uncorrected formation energy**: 1.386 eV/atom
**Polymorph energy (0 for the lowest one)**: 0.0 meV/atom

a b c (Å): 4.502 4.502 5.155
angles (deg): 90.00 90.00 90.00
Space group P4/mmm (No. 123)
Symmetry-distinct sites (fractional):
Rb 0.000 0.000 0.000 x1
Ag 0.500 0.500 0.500 x1
S 0.500 0.500 0.000 x1
N 0.000 0.500 0.500 x2

---

VASP calculation (GGA-PBE) on a relaxed structure of RbAgSN2.

Properties
**Final energy**: -2.616 eV per atom
**Total magnetization**: 1.201 μB per atom
**Uncorrected formation energy**: 2.304 eV/atom
**Polymorph energy (0 for the lowest one)**: 917.8 meV/atom

a b c (Å): 5.216 5.216 6.283
angles (deg): 90.00 90.00 90.00
Space group P4/mmm (No. 123)
Symmetry-distinct sites (fractional):
Rb 0.000 0.000 0.000 x1
Ag 0.500 0.500 0.500 x1
S 0.000 0.000 0.500 x1
N 0.000 0.500 0.000 x2

---

VASP calculation (GGA-PBE) on a relaxed structure of RbAgSN2.

Properties
**Final energy**: -3.114 eV per atom
**Total magnetization**: 0.355 μB per atom
**Uncorrected formation energy**: 1.805 eV/atom
**Polymorph energy (0 for the lowest one)**: 419.2 meV/atom

a b c (Å): 4.061 4.061 5.855
angles (deg): 90.00 90.00 90.00
Space group P4/mmm (No. 123)
Symmetry-distinct sites (fractional):
Rb 0.000 0.000 0.000 x1
Ag 0.500 0.500 0.000 x1
S 0.000 0.000 0.500 x1
N 0.000 0.500 0.500 x2

---

VASP calculation (GGA-PBE) on a relaxed structure of Rb2ScAgN.

Properties
**Final energy**: -2.391 eV per atom
**Total magnetization**: 0.012 μB per atom
**Uncorrected formation energy**: 1.498 eV/atom

a b c (Å): 7.278 7.278 5.270
angles (deg): 90.00 90.00 90.00
Space group P4/mmm (No. 123)
Symmetry-distinct sites (fractional):
Rb 0.000 0.500 0.000 x2
Sc 0.000 0.000 0.000 x1
Ag 0.000 0.000 0.500 x1
N 0.500 0.500 0.500 x1

---

VASP calculation (GGA-PBE) on a relaxed structure of RbAgSeN2.

Properties
**Final energy**: -2.328 eV per atom
**Total magnetization**: 0.690 μB per atom
**Uncorrected formation energy**: 2.463 eV/atom
**Polymorph energy (0 for the lowest one)**: 1081.7 meV/atom

a b c (Å): 5.143 5.143 6.676
angles (deg): 90.00 90.00 90.00
Space group P4/mmm (No. 123)
Symmetry-distinct sites (fractional):
Rb 0.000 0.000 0.000 x1
Ag 0.500 0.500 0.500 x1
Se 0.000 0.000 0.500 x1
N 0.000 0.500 0.000 x2

---

VASP calculation (GGA-PBE) on a relaxed structure of RbAgSeN2.

Properties
**Final energy**: -3.409 eV per atom
**Total magnetization**: 0.883 μB per atom
**Uncorrected formation energy**: 1.381 eV/atom
**Polymorph energy (0 for the lowest one)**: 0.0 meV/atom

a b c (Å): 4.574 4.574 5.369
angles (deg): 90.00 90.00 90.00
Space group P4/mmm (No. 123)
Symmetry-distinct sites (fractional):
Rb 0.000 0.000 0.000 x1
Ag 0.500 0.500 0.500 x1
Se 0.500 0.500 0.000 x1
N 0.000 0.500 0.500 x2